The following is a PBE calculation of crystalline Zn4BiSb at its relaxed geometry, from the Alexandria database.

Summary:
formation energy from raw total energies	0.152	eV per atom
M_tot	0.00	Bohr magnetons per cell

a = 7.8658 Å, b = 7.8658 Å, c = 7.8658 Å
α = 90.00°, β = 90.00°, γ = 90.00°
Space group F-43m (No. 216)
One atom of each set of equivalent atoms:
Zn (0.1247, 0.1247, 0.1247) [16 per cell]
Bi (0.0000, 0.0000, 0.5000) [4 per cell]
Sb (0.2500, 0.2500, 0.7500) [4 per cell]



The following is a PBE calculation of crystalline ZnBiSb at its relaxed geometry, from the Alexandria database.

Summary:
formation energy from raw total energies	0.142	eV per atom
M_tot	0.00	Bohr magnetons per cell

a = 6.9497 Å, b = 6.9497 Å, c = 6.9497 Å
α = 90.00°, β = 90.00°, γ = 90.00°
Space group F-43m (No. 216)
One atom of each set of equivalent atoms:
Zn (0.0000, 0.0000, 0.0000) [4 per cell]
Bi (0.2500, 0.2500, 0.2500) [4 per cell]
Sb (0.2500, 0.2500, 0.7500) [4 per cell]